K3Pu3SbS8: optimized geometry, GGA-PBE.

Output
calculated total energy = -6.907 eV/atom
calculated volume = 28.3 Å³ per atom
total magnetization = 14.00 μB per cell
space group = R-3m

abc: 8.1457 8.1463 8.7528
angles: 117.74 90.00 120.00
Closest atoms and distances in Å follow each position.
Element x y z (fractional)
S 0.2320 0.4641 0.6939  2 Pu 2.75, 1 Sb 2.76
S 0.2701 0.0381 0.3061  2 Pu 2.75, 1 Sb 2.76
S 0.7299 0.9619 0.6939  2 Pu 2.75, 1 Sb 2.76
S 0.7680 0.5359 0.3061  2 Pu 2.75, 1 Sb 2.76
S 0.2672 0.5343 0.3016  3 Pu 2.77
S 0.2320 0.9619 0.6939  2 Pu 2.75, 1 Sb 2.76
S 0.7328 0.4657 0.6984  3 Pu 2.77
S 0.7680 0.0381 0.3061  2 Pu 2.75, 1 Sb 2.76
K 0.5000 0.5000 0.0000  6 S 3.24-3.27
K 0.0000 0.0000 0.0000  6 S 3.24-3.26
K 0.0000 0.5000 0.0000  6 S 3.24-3.27
Pu 0.5000 0.0000 0.5000  6 S 2.75-2.77
Pu 0.5000 0.5000 0.5000  6 S 2.75-2.77
Pu 0.0000 0.5000 0.5000  6 S 2.75-2.77
Sb 0.0000 0.0000 0.5000  6 S 2.76